[1]
DFT (GGA-PBE) results for a geometry-optimized La4Nd8Tm3 structure.

## Properties
Magnetic moment: 0.0 μB per cell
Theoretical density: 6.88 g/cm3
Energy of formation from the pure elements: 0.318 eV/atom
Calculated total energy: -133.00 eV per cell

Cell lengths 13.7641, 13.0137, 6.9091 Å; angles 90.00, 120.12, 90.00 degrees
Space group C2/m (No. 12)
Inequivalent atoms, fractional coordinates:
La (0.0000, 0.0000, 0.0000) (multiplicity 2)
La (0.0000, 0.0000, 0.5000) (multiplicity 2)
La (0.2500, 0.2500, 0.0000) (multiplicity 4)
Nd (0.0000, 0.2541, 0.0000) (multiplicity 4)
Nd (0.0000, 0.3569, 0.5000) (multiplicity 4)
Nd (0.2267, 0.5000, 0.9503) (multiplicity 4)
Nd (0.2368, 0.5000, 0.4859) (multiplicity 4)
Tm (0.0000, 0.5000, 0.0000) (multiplicity 2)
Tm (0.2500, 0.2500, 0.5000) (multiplicity 4)

[2]
DFT (GGA-PBE) results for a geometry-optimized LaNd2Tm5 structure.

## Properties
Magnetic moment: 0.0 μB per cell
Theoretical density: 8.25 g/cm3
Energy of formation from the pure elements: 0.022 eV/atom
Calculated total energy: -73.30 eV per cell

Cell lengths 7.1821, 7.1821, 9.9235 Å; angles 90.00, 90.00, 90.00 degrees
Space group I4mm (No. 107)
Inequivalent atoms, fractional coordinates:
La (0.0000, 0.0000, 0.0000) (multiplicity 2)
Nd (0.0000, 0.5000, 0.9996) (multiplicity 4)
Tm (0.0000, 0.0000, 0.4994) (multiplicity 2)
Tm (0.2502, 0.2502, 0.2497) (multiplicity 8)

[3]
DFT (GGA-PBE) results for a geometry-optimized LaNdTm5 structure.

## Properties
Magnetic moment: 0.0 μB per cell
Theoretical density: 6.40 g/cm3
Energy of formation from the pure elements: 1.128 eV/atom
Calculated total energy: -48.31 eV per cell

Cell lengths 5.7497, 8.6187, 11.8103 Å; angles 90.00, 90.00, 90.00 degrees
Space group Immm (No. 71)
Inequivalent atoms, fractional coordinates:
La (0.0000, 0.0000, 0.0000) (multiplicity 2)
Nd (0.0000, 0.0000, 0.5000) (multiplicity 2)
Tm (0.0000, 0.0000, 0.2548) (multiplicity 4)
Tm (0.0000, 0.3214, 0.5000) (multiplicity 4)
Tm (0.0000, 0.5000, 0.0000) (multiplicity 2)

[4]
DFT (GGA-PBE) results for a geometry-optimized La5Nd6Tm structure.

## Properties
Magnetic moment: 0.0 μB per cell
Theoretical density: 6.73 g/cm3
Energy of formation from the pure elements: 0.016 eV/atom
Calculated total energy: -115.06 eV per cell

Cell lengths 6.3918, 11.0691, 12.2457 Å; angles 90.00, 100.11, 90.00 degrees
Space group C2/m (No. 12)
Inequivalent atoms, fractional coordinates:
La (0.0000, 0.0000, 0.0000) (multiplicity 2)
La (0.0000, 0.1671, 0.5000) (multiplicity 4)
La (0.0000, 0.3336, 0.0000) (multiplicity 4)
Nd (0.2479, 0.3343, 0.7481) (multiplicity 8)
Nd (0.2505, 0.0000, 0.7480) (multiplicity 4)
Tm (0.0000, 0.5000, 0.5000) (multiplicity 2)

[5]
DFT (GGA-PBE) results for a geometry-optimized La3Nd4Tm structure.

## Properties
Magnetic moment: 0.0 μB per cell
Theoretical density: 6.79 g/cm3
Energy of formation from the pure elements: 0.083 eV/atom
Calculated total energy: -75.32 eV per cell

Cell lengths 16.6119, 5.9790, 6.1557 Å; angles 90.00, 111.65, 90.00 degrees
Space group C2/m (No. 12)
Inequivalent atoms, fractional coordinates:
La (0.0000, 0.0000, 0.0000) (multiplicity 2)
La (0.1329, 0.0000, 0.5804) (multiplicity 4)
Nd (0.1301, 0.5000, 0.1773) (multiplicity 4)
Nd (0.2468, 0.5000, 0.8107) (multiplicity 4)
Tm (0.0000, 0.5000, 0.5000) (multiplicity 2)

[6]
DFT (GGA-PBE) results for a geometry-optimized La11Nd4Tm9 structure.

## Properties
Magnetic moment: 0.0 μB per cell
Theoretical density: 7.28 g/cm3
Energy of formation from the pure elements: 0.071 eV/atom
Calculated total energy: -223.63 eV per cell

Cell lengths 17.0696, 25.8784, 3.7423 Å; angles 90.00, 90.00, 90.00 degrees
Space group Cmmm (No. 65)
Inequivalent atoms, fractional coordinates:
La (0.0000, 0.0000, 0.0000) (multiplicity 2)
La (0.0000, 0.1592, 0.0000) (multiplicity 4)
La (0.0000, 0.3669, 0.0000) (multiplicity 4)
La (0.2105, 0.5000, 0.0000) (multiplicity 4)
La (0.2256, 0.1812, 0.0000) (multiplicity 8)
Nd (0.1557, 0.3997, 0.5000) (multiplicity 8)
Tm (0.0000, 0.5000, 0.5000) (multiplicity 2)
Tm (0.1006, 0.2654, 0.5000) (multiplicity 8)
Tm (0.1383, 0.0731, 0.5000) (multiplicity 8)

[7]
DFT (GGA-PBE) results for a geometry-optimized LaNdTm14 structure.

## Properties
Magnetic moment: 0.0 μB per cell
Theoretical density: 8.93 g/cm3
Energy of formation from the pure elements: 0.017 eV/atom
Calculated total energy: -144.05 eV per cell

Cell lengths 11.3715, 7.0861, 12.2229 Å; angles 90.00, 90.00, 90.00 degrees
Space group Amm2 (No. 38)
Inequivalent atoms, fractional coordinates:
La (0.0000, 0.0000, 0.0000) (multiplicity 2)
Nd (0.0000, 0.0000, 0.5009) (multiplicity 2)
Tm (0.0000, 0.2494, 0.2509) (multiplicity 4)
Tm (0.2520, 0.0000, 0.6683) (multiplicity 4)
Tm (0.2535, 0.0000, 0.1683) (multiplicity 4)
Tm (0.2560, 0.2494, 0.4171) (multiplicity 8)
Tm (0.5000, 0.0000, 0.3341) (multiplicity 2)
Tm (0.5000, 0.0000, 0.8339) (multiplicity 2)
Tm (0.5000, 0.2504, 0.0849) (multiplicity 4)

[8]
DFT (GGA-PBE) results for a geometry-optimized La2Nd3Tm4 structure.

## Properties
Magnetic moment: 0.0 μB per cell
Theoretical density: 7.68 g/cm3
Energy of formation from the pure elements: 0.093 eV/atom
Calculated total energy: -164.85 eV per cell

Cell lengths 16.6048, 11.8232, 6.1658 Å; angles 90.00, 97.97, 90.00 degrees
Space group C2/c (No. 15)
Inequivalent atoms, fractional coordinates:
La (0.1153, 0.1295, 0.2856) (multiplicity 8)
Nd (0.0000, 0.1354, 0.7500) (multiplicity 4)
Nd (0.1603, 0.3592, 0.5943) (multiplicity 8)
Tm (0.0565, 0.3862, 0.0401) (multiplicity 8)
Tm (0.2346, 0.1209, 0.8564) (multiplicity 8)

[9]
DFT (GGA-PBE) results for a geometry-optimized La3Nd7Tm2 structure.

## Properties
Magnetic moment: 0.0 μB per cell
Theoretical density: 6.62 g/cm3
Energy of formation from the pure elements: 0.254 eV/atom
Calculated total energy: -162.17 eV per cell

Cell lengths 6.6869, 6.6869, 34.2836 Å; angles 90.00, 90.00, 120.00 degrees
Space group R-3m (No. 166, hexagonal axes)
Inequivalent atoms, fractional coordinates:
La (0.0000, 0.0000, 0.0000) (multiplicity 3)
La (0.0000, 0.0000, 0.1531) (multiplicity 6)
Nd (0.0000, 0.0000, 0.5000) (multiplicity 3)
Nd (0.0034, 0.5017, 0.9169) (multiplicity 18)
Tm (0.0000, 0.0000, 0.3338) (multiplicity 6)

[10]
DFT (GGA-PBE) results for a geometry-optimized La2NdTm4 structure.

## Properties
Magnetic moment: 0.0 μB per cell
Theoretical density: 7.96 g/cm3
Energy of formation from the pure elements: 0.028 eV/atom
Calculated total energy: -64.62 eV per cell

Cell lengths 7.1623, 8.0372, 8.7992 Å; angles 111.29, 90.54, 102.89 degrees
Space group P1 (No. 1)
Inequivalent atoms, fractional coordinates:
La (0.0000, 0.0000, 0.0000) (multiplicity 1)
La (0.0730, 0.2827, 0.4268) (multiplicity 1)
La (0.3589, 0.4396, 0.1450) (multiplicity 1)
La (0.4939, 0.9972, 0.9990) (multiplicity 1)
Nd (0.7807, 0.1479, 0.7143) (multiplicity 1)
Nd (0.9255, 0.7176, 0.5713) (multiplicity 1)
Tm (0.1395, 0.5713, 0.8547) (multiplicity 1)
Tm (0.2133, 0.8594, 0.2892) (multiplicity 1)
Tm (0.2859, 0.1465, 0.7122) (multiplicity 1)
Tm (0.4273, 0.7178, 0.5719) (multiplicity 1)
Tm (0.5694, 0.2878, 0.4292) (multiplicity 1)
Tm (0.6401, 0.5696, 0.8516) (multiplicity 1)
Tm (0.7121, 0.8577, 0.2872) (multiplicity 1)
Tm (0.8567, 0.4365, 0.1441) (multiplicity 1)

[11]
DFT (GGA-PBE) results for a geometry-optimized La2Nd2Tm15 structure.

## Properties
Magnetic moment: 0.2 μB per cell
Theoretical density: 8.11 g/cm3
Energy of formation from the pure elements: 0.269 eV/atom
Calculated total energy: -244.07 eV per cell

Cell lengths 11.3188, 11.3188, 17.1630 Å; angles 90.00, 90.00, 120.00 degrees
Space group R-3m (No. 166, hexagonal axes)
Inequivalent atoms, fractional coordinates:
La (0.0000, 0.0000, 0.1583) (multiplicity 6)
Nd (0.0000, 0.0000, 0.3784) (multiplicity 6)
Tm (0.0000, 0.3052, 0.5000) (multiplicity 18)
Tm (0.0000, 0.5000, 0.0000) (multiplicity 9)
Tm (0.0092, 0.5046, 0.6456) (multiplicity 18)

[12]
DFT (GGA-PBE) results for a geometry-optimized LaNdTm2 structure.

## Properties
Magnetic moment: 0.0 μB per cell
Theoretical density: 7.81 g/cm3
Energy of formation from the pure elements: 0.028 eV/atom
Calculated total energy: -18.53 eV per cell

Cell lengths 3.6650, 3.6650, 9.8336 Å; angles 90.00, 90.00, 90.00 degrees
Space group P4/mmm (No. 123)
Inequivalent atoms, fractional coordinates:
La (0.0000, 0.0000, 0.0000) (multiplicity 1)
Nd (0.0000, 0.0000, 0.5000) (multiplicity 1)
Tm (0.5000, 0.5000, 0.2525) (multiplicity 2)